VASP calculation (PBE-GGA) on crystalline BeB3Au at its relaxed geometry.

VASP energy = -0.24182 Ry/atom
Excess energy over the best structure of this formula in the dataset = 527.7 meV/atom
Energy of formation from the pure elements = 1021 kJ/mol of formula units

Lattice parameters (Å, degrees): 4.1820 4.1820 4.1820 90.00 90.00 90.00
Atoms (fractional coordinates):
Be (0.0000, 0.0000, 0.0000)
B (0.0000, 0.5000, 0.5000)
B (0.5000, 0.0000, 0.5000)
B (0.5000, 0.5000, 0.0000)
Au (0.5000, 0.5000, 0.5000)